# BaV2CuAg2O8

BaV2CuAg2O8 after structural relaxation (GGA+U, Alexandria).

Results
The value obtained for the density is 5.27 g cm⁻³. The volume is 407.7 Å³ per cell. The calculation puts the total energy at -6.247 eV/atom. Its space-group type is No. 2.

POSCAR file:
```
BaV2CuAg2O8
1.0
5.4487 0.0535 -0.0413
-2.5980 5.1867 -0.1739
-0.2488 -2.1035 14.4361
O Ba V Cu Ag
16 2 4 2 4
Direct
0.5744 0.7637 0.9091 O
0.2137 0.6147 0.1165 O
0.2290 0.3219 0.7405 O
0.7863 0.3853 0.8835 O
0.6946 0.4797 0.4226 O
0.7607 0.1406 0.6108 O
0.8536 0.7190 0.7518 O
0.1464 0.2810 0.2482 O
0.4256 0.2363 0.0909 O
0.2078 0.9865 0.5791 O
0.3054 0.5203 0.5774 O
0.8209 0.0634 0.0816 O
0.7922 0.0135 0.4209 O
0.1791 0.9366 0.9184 O
0.2393 0.8594 0.3892 O
0.7710 0.6781 0.2595 O
0.4465 0.9310 0.7451 Ba
0.5535 0.0690 0.2549 Ba
0.1234 0.2415 0.6240 V
0.1544 0.3052 0.1319 V
0.8456 0.6948 0.8681 V
0.8766 0.7585 0.3760 V
0.5000 0.0000 0.5000 Cu
0.5000 0.0000 0.0000 Cu
0.1803 0.3357 0.9062 Ag
0.7828 0.5778 0.5878 Ag
0.2172 0.4222 0.4122 Ag
0.8197 0.6643 0.0938 Ag
```